(w)
Ta4Rh2N | PBE | optimized geometry

## Properties
For the density of states at the Fermi level, the calculation gives 1.354 states/eV/atom.

Lattice parameters (Å, degrees): 11.922 11.922 11.922 90.00 90.00 90.00
Space group Fd-3m (No. 227, origin choice 2)
Unique sites:
Ta1 0.000 0.000 0.000 [16 per cell]
Ta2 0.057 0.375 0.875 [48 per cell]
Rh1 0.037 0.037 0.213 [32 per cell]
N1 0.000 0.000 0.500 [16 per cell]

(x)
Ta4Rh2N | PBE | optimized geometry

## Properties
For the density of states at the Fermi level, the calculation gives 0.843 states/eV/atom.

Lattice parameters (Å, degrees): 7.117 9.972 3.086 90.00 90.00 90.00
Space group Pbam (No. 55)
Unique sites:
Ta1 0.141 0.195 0.000 [4 per cell]
Ta2 0.185 0.931 0.500 [4 per cell]
Rh1 0.053 0.631 0.500 [4 per cell]
N1 0.000 0.000 0.000 [2 per cell]

It comes down to (w), which is 174 meV/atom more stable than the next structure.

(w)
Tc3RhN | PBE | optimized geometry

## Properties
For the density of states at the Fermi level, the calculation gives 1.206 states/eV/atom.

Lattice parameters (Å, degrees): 4.681 4.681 4.681 90.00 90.00 90.00
Space group Pm-3m (No. 221)
Unique sites:
Tc1 0.000 0.000 0.500 [3 per cell]
Rh1 0.000 0.000 0.000 [1 per cell]
N1 0.500 0.500 0.500 [1 per cell]

(x)
Tc3RhN | PBE | optimized geometry

## Properties
For the density of states at the Fermi level, the calculation gives 0.529 states/eV/atom.

Lattice parameters (Å, degrees): 4.025 4.025 4.025 90.00 90.00 90.00
Space group Pm-3m (No. 221)
Unique sites:
Tc1 0.000 0.000 0.500 [3 per cell]
Rh1 0.500 0.500 0.500 [1 per cell]
N1 0.000 0.000 0.000 [1 per cell]

It comes down to (x), which is 2970 meV/atom more stable than the next structure.

(w)
Te3RhN | PBE | optimized geometry

## Properties
For the density of states at the Fermi level, the calculation gives 0.955 states/eV/atom.

Lattice parameters (Å, degrees): 4.666 4.666 4.666 90.00 90.00 90.00
Space group Pm-3m (No. 221)
Unique sites:
Te1 0.000 0.000 0.500 [3 per cell]
Rh1 0.500 0.500 0.500 [1 per cell]
N1 0.000 0.000 0.000 [1 per cell]

(x)
Te3RhN | PBE | optimized geometry

## Properties
For the density of states at the Fermi level, the calculation gives 1.681 states/eV/atom.

Lattice parameters (Å, degrees): 5.143 5.143 5.143 90.00 90.00 90.00
Space group Pm-3m (No. 221)
Unique sites:
Te1 0.000 0.000 0.500 [3 per cell]
Rh1 0.000 0.000 0.000 [1 per cell]
N1 0.500 0.500 0.500 [1 per cell]

It comes down to (w), which is 620 meV/atom more stable than the next structure.

(w)
TiTe2RhN | PBE | optimized geometry

## Properties
For the density of states at the Fermi level, the calculation gives 1.176 states/eV/atom.

Lattice parameters (Å, degrees): 5.411 5.411 3.637 90.00 90.00 90.00
Space group P4/mmm (No. 123)
Unique sites:
Ti1 0.000 0.000 0.000 [1 per cell]
Te1 0.000 0.500 0.000 [2 per cell]
Rh1 0.500 0.500 0.500 [1 per cell]
N1 0.000 0.000 0.500 [1 per cell]

(x)
TiTe2RhN | PBE | optimized geometry

## Properties
For the density of states at the Fermi level, the calculation gives 1.208 states/eV/atom.

Lattice parameters (Å, degrees): 5.422 5.422 3.656 90.00 90.00 90.00
Space group P4/mmm (No. 123)
Unique sites:
Ti1 0.000 0.000 0.000 [1 per cell]
Te1 0.000 0.500 0.500 [2 per cell]
Rh1 0.500 0.500 0.500 [1 per cell]
N1 0.500 0.500 0.000 [1 per cell]

It comes down to (w), which is 77 meV/atom more stable than the next structure.

(w)
TiTeRhN2 | PBE | optimized geometry

## Properties
For the density of states at the Fermi level, the calculation gives 1.091 states/eV/atom.

Lattice parameters (Å, degrees): 3.826 3.826 6.218 90.00 90.00 90.00
Space group P4/mmm (No. 123)
Unique sites:
Ti1 0.000 0.000 0.000 [1 per cell]
Te1 0.500 0.500 0.000 [1 per cell]
Rh1 0.500 0.500 0.500 [1 per cell]
N1 0.000 0.500 0.500 [2 per cell]

(x)
TiTeRhN2 | PBE | optimized geometry

## Properties
For the density of states at the Fermi level, the calculation gives 1.046 states/eV/atom.

Lattice parameters (Å, degrees): 3.853 3.853 5.833 90.00 90.00 90.00
Space group P4/mmm (No. 123)
Unique sites:
Ti1 0.000 0.000 0.000 [1 per cell]
Te1 0.000 0.000 0.500 [1 per cell]
Rh1 0.500 0.500 0.500 [1 per cell]
N1 0.000 0.500 0.000 [2 per cell]

It comes down to (x), which is 437 meV/atom more stable than the next structure.

(w)
TeRhWN2 | PBE | optimized geometry

## Properties
For the density of states at the Fermi level, the calculation gives 0.776 states/eV/atom.

Lattice parameters (Å, degrees): 3.882 3.882 5.825 90.00 90.00 90.00
Space group P4/mmm (No. 123)
Unique sites:
Te1 0.000 0.000 0.000 [1 per cell]
Rh1 0.500 0.500 0.000 [1 per cell]
W1 0.000 0.000 0.500 [1 per cell]
N1 0.000 0.500 0.500 [2 per cell]

(x)
TeRhWN2 | PBE | optimized geometry

## Properties
For the density of states at the Fermi level, the calculation gives 0.804 states/eV/atom.

Lattice parameters (Å, degrees): 3.899 3.899 5.760 90.00 90.00 90.00
Space group P4/mmm (No. 123)
Unique sites:
Te1 0.000 0.000 0.000 [1 per cell]
Rh1 0.000 0.000 0.500 [1 per cell]
W1 0.500 0.500 0.000 [1 per cell]
N1 0.000 0.500 0.500 [2 per cell]

It comes down to (w), which is 1134 meV/atom more stable than the next structure.

(w)
ZnTeRhN2 | PBE | optimized geometry

## Properties
For the density of states at the Fermi level, the calculation gives 0.732 states/eV/atom.

Lattice parameters (Å, degrees): 3.854 3.854 5.804 90.00 90.00 90.00
Space group P4/mmm (No. 123)
Unique sites:
Zn1 0.000 0.000 0.000 [1 per cell]
Te1 0.500 0.500 0.000 [1 per cell]
Rh1 0.500 0.500 0.500 [1 per cell]
N1 0.000 0.500 0.500 [2 per cell]

(x)
ZnTeRhN2 | PBE | optimized geometry

## Properties
For the density of states at the Fermi level, the calculation gives 0.920 states/eV/atom.

Lattice parameters (Å, degrees): 3.831 3.831 6.136 90.00 90.00 90.00
Space group P4/mmm (No. 123)
Unique sites:
Zn1 0.000 0.000 0.000 [1 per cell]
Te1 0.000 0.000 0.500 [1 per cell]
Rh1 0.500 0.500 0.500 [1 per cell]
N1 0.000 0.500 0.000 [2 per cell]

It comes down to (w), which is 635 meV/atom more stable than the next structure.

(w)
ZrTe2RhN | PBE | optimized geometry

## Properties
For the density of states at the Fermi level, the calculation gives 1.079 states/eV/atom.

Lattice parameters (Å, degrees): 5.425 5.425 3.688 90.00 90.00 90.00
Space group P4/mmm (No. 123)
Unique sites:
Zr1 0.000 0.000 0.000 [1 per cell]
Te1 0.000 0.500 0.500 [2 per cell]
Rh1 0.500 0.500 0.500 [1 per cell]
N1 0.500 0.500 0.000 [1 per cell]

(x)
ZrTe2RhN | PBE | optimized geometry

## Properties
For the density of states at the Fermi level, the calculation gives 1.353 states/eV/atom.

Lattice parameters (Å, degrees): 5.678 5.678 3.911 90.00 90.00 90.00
Space group P4/mmm (No. 123)
Unique sites:
Zr1 0.000 0.000 0.000 [1 per cell]
Te1 0.000 0.500 0.000 [2 per cell]
Rh1 0.500 0.500 0.500 [1 per cell]
N1 0.000 0.000 0.500 [1 per cell]

It comes down to (w), which is 296 meV/atom more stable than the next structure.

(w)
Th2RhN | PBE | optimized geometry

## Properties
For the density of states at the Fermi level, the calculation gives 0.623 states/eV/atom.

Lattice parameters (Å, degrees): 3.7148 3.7148 21.3736 90.00 90.00 120.00
Space group R3m (No. 160, hexagonal axes)
Unique sites:
Th1 0.0000 0.0000 0.0000 [3 per cell]
Th2 0.0000 0.0000 0.1545 [3 per cell]
Rh1 0.0000 0.0000 0.5766 [3 per cell]
N1 0.0000 0.0000 0.3960 [3 per cell]

(x)
Th2RhN | PBE | optimized geometry

## Properties
For the density of states at the Fermi level, the calculation gives 0.383 states/eV/atom.

Lattice parameters (Å, degrees): 3.7646 3.7646 20.4876 90.00 90.00 120.00
Space group R-3m (No. 166, hexagonal axes)
Unique sites:
Th1 0.0000 0.0000 0.2391 [6 per cell]
Rh1 0.0000 0.0000 0.0000 [3 per cell]
N1 0.0000 0.0000 0.5000 [3 per cell]

It comes down to (x), which is 224 meV/atom more stable than the next structure.

(w)
Ti2Rh2N | PBE | optimized geometry

## Properties
For the density of states at the Fermi level, the calculation gives 0.810 states/eV/atom.

Lattice parameters (Å, degrees): 3.431 3.431 13.016 90.00 90.00 90.00
Space group I4/mmm (No. 139)
Unique sites:
Ti1 0.000 0.000 0.097 [4 per cell]
Rh1 0.000 0.500 0.250 [4 per cell]
N1 0.000 0.000 0.500 [2 per cell]

(x)
Ti2Rh2N | PBE | optimized geometry

## Properties
For the density of states at the Fermi level, the calculation gives 1.467 states/eV/atom.

Lattice parameters (Å, degrees): 5.508 5.508 4.494 90.00 90.00 90.00
Space group P4/mbm (No. 127)
Unique sites:
Ti1 0.174 0.326 0.000 [4 per cell]
Rh1 0.165 0.665 0.500 [4 per cell]
N1 0.000 0.000 0.000 [2 per cell]

It comes down to (x), which is 876 meV/atom more stable than the next structure.

(w)
TlRhN | PBE | optimized geometry

## Properties
For the density of states at the Fermi level, the calculation gives 0.539 states/eV/atom.

Lattice parameters (Å, degrees): 5.549 5.529 8.036 90.00 102.40 90.00
Space group C2/m (No. 12)
Unique sites:
Tl1 0.087 0.000 0.330 [4 per cell]
Rh1 0.071 0.500 0.322 [4 per cell]
N1 0.020 0.500 0.073 [4 per cell]

(x)
TlRhN | PBE | optimized geometry

## Properties
For the density of states at the Fermi level, the calculation gives 0.511 states/eV/atom.

Lattice parameters (Å, degrees): 15.061 3.216 5.358 90.00 108.80 90.00
Space group Cm (No. 8)
Unique sites:
Tl1 0.000 0.000 0.000 [2 per cell]
Tl2 0.088 0.500 0.577 [2 per cell]
Rh1 0.263 0.500 0.424 [2 per cell]
Rh2 0.264 0.000 0.896 [2 per cell]
N1 0.291 0.000 0.271 [2 per cell]
N2 0.322 0.500 0.805 [2 per cell]

(y)
TlRhN | PBE | optimized geometry

## Properties
For the density of states at the Fermi level, the calculation gives 0.324 states/eV/atom.

Lattice parameters (Å, degrees): 10.241 3.634 7.074 90.00 104.08 90.00
Space group Cm (No. 8)
Unique sites:
Tl1 0.000 0.000 0.000 [2 per cell]
Tl2 0.227 0.000 0.695 [2 per cell]
Rh1 0.073 0.500 0.401 [2 per cell]
Rh2 0.338 0.500 0.363 [2 per cell]
N1 0.166 0.500 0.201 [2 per cell]
N2 0.397 0.000 0.441 [2 per cell]

(z)
TlRhN | PBE | optimized geometry

## Properties
For the density of states at the Fermi level, the calculation gives 0.533 states/eV/atom.

Lattice parameters (Å, degrees): 3.231 4.376 8.379 86.66 79.01 90.00
Space group P1 (No. 1)
Unique sites:
Tl1 0.000 0.000 0.000 [1 per cell]
Tl2 0.331 0.464 0.332 [1 per cell]
Rh1 0.139 0.597 0.722 [1 per cell]
Rh2 0.695 0.115 0.607 [1 per cell]
N1 0.231 0.904 0.536 [1 per cell]
N2 0.599 0.368 0.803 [1 per cell]

It comes down to (w), which is 173 meV/atom more stable than the next structure.

(w)
Tl3RhN | PBE | optimized geometry

## Properties
For the density of states at the Fermi level, the calculation gives 0.968 states/eV/atom.

Lattice parameters (Å, degrees): 4.793 4.793 4.793 90.00 90.00 90.00
Space group Pm-3m (No. 221)
Unique sites:
Tl1 0.000 0.000 0.500 [3 per cell]
Rh1 0.500 0.500 0.500 [1 per cell]
N1 0.000 0.000 0.000 [1 per cell]

(x)
Tl3RhN | PBE | optimized geometry

## Properties
For the density of states at the Fermi level, the calculation gives 0.701 states/eV/atom.

Lattice parameters (Å, degrees): 5.280 5.280 5.280 90.00 90.00 90.00
Space group Pm-3m (No. 221)
Unique sites:
Tl1 0.000 0.000 0.500 [3 per cell]
Rh1 0.000 0.000 0.000 [1 per cell]
N1 0.500 0.500 0.500 [1 per cell]

It comes down to (x), which is 95 meV/atom more stable than the next structure.